# Al2InAs

A geometry-optimized Al2InAs structure (PBE, the Alexandria database).

Results
M_tot: 0.00 μB per formula unit
DOS at the Fermi energy: 0.9 states/eV per cell
energy of formation: -24 meV/atom

Cell: 3.718 3.718 7.453 Å, 75.89 75.89 60.01°
Atoms (fractional coordinates):
As 0.250 0.250 0.250
Al 0.984 0.984 0.042
Al 0.516 0.516 0.458
In 0.750 0.750 0.750

***

# CsW2I

A geometry-optimized CsW2I structure (PBE, the Alexandria database).

Results
M_tot: 0.00 μB per formula unit
raw formation energy: 1.8102 eV per atom
DOS at the Fermi energy: 7.5 states/eV per cell

Cell: 4.876 4.876 10.973 Å, 77.16 77.16 90.00°
Atoms (fractional coordinates):
Cs 0.000 0.000 0.000
Cs 0.750 0.250 0.500
I 0.500 0.500 0.000
I 0.250 0.750 0.500
W 0.449 0.125 0.250
W 0.301 0.625 0.250
W 0.375 0.551 0.750
W 0.875 0.699 0.750

***

# BaNaMgAu

A geometry-optimized BaNaMgAu structure (PBE, the Alexandria database).

Results
M_tot: 0.00 μB per formula unit
DOS at the Fermi energy: 4.6 states/eV per cell
energy of formation: -379 meV/atom

Cell: 4.515 4.515 13.293 Å, 90.00 90.00 90.00°
Atoms (fractional coordinates):
Ba 0.750 0.750 0.234
Ba 0.250 0.250 0.766
Na 0.250 0.750 0.500
Na 0.750 0.250 0.500
Mg 0.750 0.250 0.000
Mg 0.250 0.750 0.000
Au 0.750 0.750 0.877
Au 0.250 0.250 0.123

***

# Ba3PPb

A geometry-optimized Ba3PPb structure (PBE, the Alexandria database).

Results
M_tot: 0.00 μB per formula unit
DOS at the Fermi energy: 0.6 states/eV per cell
energy of formation: -747 meV/atom

Cell: 7.923 10.542 11.808 Å, 120.04 90.00 90.00°
Atoms (fractional coordinates):
Ba 0.061 0.258 0.379
Ba 0.939 0.742 0.621
Ba 0.561 0.242 0.121
Ba 0.439 0.758 0.879
Ba 0.573 0.347 0.559
Ba 0.427 0.653 0.441
Ba 0.073 0.153 0.941
Ba 0.927 0.847 0.059
Ba 0.074 0.392 0.765
Ba 0.926 0.608 0.235
Ba 0.574 0.108 0.735
Ba 0.426 0.892 0.265
P 0.243 0.542 0.616
P 0.757 0.458 0.384
P 0.743 0.958 0.884
P 0.257 0.042 0.116
Pb 0.815 0.990 0.439
Pb 0.185 0.010 0.561
Pb 0.315 0.510 0.061
Pb 0.685 0.490 0.939

***

# Tb2PmNdSm4

A geometry-optimized Tb2PmNdSm4 structure (PBE, the Alexandria database).

Results
M_tot: 0.00 μB per formula unit
DOS at the Fermi energy: 11.6 states/eV per cell
energy of formation: 16 meV/atom

Cell: 3.624 6.260 12.034 Å, 79.86 90.00 90.00°
Atoms (fractional coordinates):
Tb 0.000 0.000 0.000
Tb 0.500 0.000 0.500
Pm 0.000 0.500 0.500
Nd 0.500 0.500 0.000
Sm 0.000 0.751 0.749
Sm 0.000 0.249 0.251
Sm 0.500 0.750 0.250
Sm 0.500 0.250 0.750

***

# Ho5ScAg6

A geometry-optimized Ho5ScAg6 structure (PBE, the Alexandria database).

Results
M_tot: 0.00 μB per formula unit
DOS at the Fermi energy: 5.9 states/eV per cell
energy of formation: -314 meV/atom

Cell: 5.104 7.118 8.066 Å, 90.00 71.56 90.00°
Atoms (fractional coordinates):
Sc 0.000 0.000 0.000
Ho 0.668 0.500 0.664
Ho 0.334 0.000 0.331
Ho 0.000 0.500 0.000
Ho 0.666 0.000 0.669
Ho 0.332 0.500 0.336
Ag 0.837 0.756 0.325
Ag 0.837 0.244 0.325
Ag 0.500 0.243 0.000
Ag 0.500 0.757 0.000
Ag 0.163 0.756 0.675
Ag 0.163 0.244 0.675

***

# LaDySc2Se4

A geometry-optimized LaDySc2Se4 structure (PBE, the Alexandria database).

Results
M_tot: 0.00 μB per formula unit
raw formation energy: -1.7122 eV per atom
DOS at the Fermi energy: 5.1 states/eV per cell

Cell: 3.985 7.067 6.982 Å, 71.17 90.00 90.00°
Atoms (fractional coordinates):
La 0.500 0.500 0.000
Dy 0.000 0.500 0.500
Sc 0.000 0.000 0.000
Sc 0.500 0.000 0.500
Se 0.000 0.777 0.732
Se 0.000 0.223 0.268
Se 0.500 0.771 0.251
Se 0.500 0.229 0.749

***

# AcErNi2H6

A geometry-optimized AcErNi2H6 structure (PBE, the Alexandria database).

Results
M_tot: 0.93 μB per formula unit
DOS at the Fermi energy: 3.7 states/eV per cell
raw total energy: -44.5 eV per cell

Cell: 4.694 4.694 6.465 Å, 68.71 68.71 60.00°
Site moments in Bohr magnetons follow the coordinates.
Atoms (fractional coordinates):
Ac 0.000 0.000 0.000  -0.02
Er 0.500 0.500 0.500  -0.03
Ni 0.783 0.783 0.650  -0.39
Ni 0.217 0.217 0.350  -0.39
H 0.069 0.568 0.795  -0.01
H 0.568 0.069 0.795  -0.01
H 0.432 0.432 0.205  -0.01
H 0.931 0.432 0.205  -0.01
H 0.432 0.931 0.205  -0.01
H 0.568 0.568 0.795  -0.01

***

Look up the DOS at the Fermi energy of the seventh one. 5.1 states/eV per cell